Crystalline AgSbBr6 at its relaxed geometry, computed with PBE. Values from VASP.

## Properties
Space group   C2/m (12)
Relative energy among the computed polymorphs   0 meV/atom
Density of states at the Fermi level   1.13 states/eV/cell
Magnetization   0.000 μB per formula unit
Raw formation energy   -0.346 eV/atom

Geometry as Quantum ESPRESSO input:
```
&SYSTEM
  ibrav = 0, nat = 8, ntyp = 3
/
ATOMIC_SPECIES
Ag 107.87 Ag.upf
Sb 121.76 Sb.upf
Br 79.90 Br.upf
ATOMIC_POSITIONS angstrom
Ag 0.000 0.000 0.000
Sb 2.324 0.000 3.233
Br 1.241 1.861 1.700
Br 0.211 0.000 4.727
Br 1.241 -1.861 1.700
Br 3.406 1.861 4.767
Br 4.436 0.000 1.740
Br 3.406 -1.861 4.767
CELL_PARAMETERS angstrom
3.439 -6.461 0.000
3.439 6.461 0.000
-2.231 0.000 6.467
```

Crystalline Ag2SbBr4 at its relaxed geometry, computed with PBE. Values from VASP.

## Properties
Space group   I-42m (121)
Density of states at the Fermi level   0.07 states/eV/cell
Magnetization   1.013 μB per formula unit
Raw formation energy   -0.235 eV/atom

Geometry as Quantum ESPRESSO input:
```
&SYSTEM
  ibrav = 0, nat = 7, ntyp = 3
/
ATOMIC_SPECIES
Ag 107.87 Ag.upf
Sb 121.76 Sb.upf
Br 79.90 Br.upf
ATOMIC_POSITIONS angstrom
Ag 3.555 0.000 2.102
Ag 0.000 3.555 2.102
Sb 0.000 0.000 0.000
Br 1.641 -1.641 3.326
Br 1.914 1.914 0.879
Br -1.641 1.641 3.326
Br 1.641 1.641 5.083
CELL_PARAMETERS angstrom
-3.555 3.555 4.205
3.555 -3.555 4.205
3.555 3.555 -4.205
```